# Pa2AlNi12B3

A relaxed structure of Pa2AlNi12B3 (PBE-GGA, Alexandria via LeMat-Bulk).

Results
ΔH_f (0 K): -0.188 eV/atom
space group: R-3m
density: 8871 kg/m3

Geometry as POSCAR:
```
Pa2AlNi12B3
1.0
3.600 2.078 5.113
-3.600 2.078 5.113
0.000 -4.156 5.113
Pa Al Ni B
2 1 12 3
Direct
0.098 0.098 0.098
0.902 0.902 0.902
0.500 0.500 0.500
0.087 0.645 0.645
0.222 0.222 0.625
0.222 0.625 0.222
0.355 0.355 0.913
0.355 0.913 0.355
0.375 0.778 0.778
0.625 0.222 0.222
0.645 0.087 0.645
0.645 0.645 0.087
0.778 0.375 0.778
0.778 0.778 0.375
0.913 0.355 0.355
0.000 0.500 0.500
0.500 0.000 0.500
0.500 0.500 0.000
```